{
  "formula": "FeReO5",
  "functional": "PBE with a Hubbard U",
  "state": "optimized geometry",
  "final_energy_ev_per_atom": -7.57,
  "spacegroup": "Pnma, No. 62",
  "lattice_angstrom": [[-4.1215, -0.9639, -3.9925], [-2.3465, -5.7000, 3.7985], [-7.7755, 7.3650, 6.2485]],
  "species": ["O", "O", "O", "O", "O", "O", "O", "O", "O", "O", "O", "O", "O", "O", "O", "O", "O", "O", "O", "O", "Fe", "Fe", "Fe", "Fe", "Re", "Re", "Re", "Re"],
  "fractional_positions": [[0.9973, 0.6645, 0.6269], [0.2500, 0.9731, 0.7090], [0.4973, 0.1645, 0.8731], [0.2500, 0.5269, 0.2090], [0.0027, 0.3355, 0.3731], [0.2500, 0.8363, 0.9264], [0.0000, 0.0000, 0.5000], [0.2500, 0.6637, 0.4264], [0.7500, 0.3363, 0.5736], [0.7500, 0.4731, 0.7910], [0.0027, 0.1645, 0.8731], [0.4973, 0.3355, 0.3731], [0.5000, 0.5000, 0.0000], [0.0000, 0.5000, 0.0000], [0.7500, 0.0269, 0.2910], [0.5027, 0.6645, 0.6269], [0.5027, 0.8355, 0.1269], [0.5000, 0.0000, 0.5000], [0.9973, 0.8355, 0.1269], [0.7500, 0.1637, 0.0736], [0.2500, 0.6275, 0.0482], [0.7500, 0.1275, 0.4518], [0.2500, 0.8725, 0.5482], [0.7500, 0.3725, 0.9518], [0.2500, 0.4645, 0.3458], [0.7500, 0.5355, 0.6542], [0.2500, 0.0355, 0.8458], [0.7500, 0.9645, 0.1542]]
}